Density functional theory data (PBE-GGA) for a relaxed structure of BeHg2.

Summary:
The value obtained for the spin magnetization is 0.00 μB/atom. The value obtained for the calculated volume is 19.32 Å³/atom. The space group is No. 194. The calculation puts the energy of formation at 419 meV/atom. The excess energy over the best structure of this formula in the dataset is 117 meV per atom.

Cell lengths 3.369, 3.369, 11.789 Å; angles 90.00, 90.00, 120.00 degrees
Sites, in units of the cell vectors:
Be  0.000  0.000  0.250
Be  0.000  0.000  0.750
Hg  0.333  0.667  0.108
Hg  0.333  0.667  0.392
Hg  0.667  0.333  0.608
Hg  0.667  0.333  0.892



Density functional theory data (PBE-GGA) for a relaxed structure of Tm2PuGa.

Summary:
The value obtained for the spin magnetization is 1.56 μB/atom. The value obtained for the calculated volume is 26.44 Å³/atom. The space group is No. 166. The calculation puts the energy of formation at -121 meV/atom. The excess energy over the best structure of this formula in the dataset is 96 meV per atom.

Cell lengths 10.335, 10.335, 10.335 Å; angles 19.33, 19.33, 19.33 degrees
Sites, in units of the cell vectors:
Tm  0.239  0.239  0.239
Tm  0.761  0.761  0.761
Pu  0.000  0.000  0.000
Ga  0.500  0.500  0.500



Density functional theory data (PBE-GGA) for a relaxed structure of HPtN2O.

Summary:
The value obtained for the spin magnetization is 0.00 μB/atom. The value obtained for the calculated volume is 9.87 Å³/atom. The space group is No. 123.

Cell lengths 2.918, 2.918, 5.792 Å; angles 90.00, 90.00, 90.00 degrees
Sites, in units of the cell vectors:
H  0.000  0.000  0.000
Pt  0.500  0.500  0.500
N  0.000  0.500  0.000
N  0.500  0.000  0.000
O  0.000  0.000  0.500



Density functional theory data (PBE-GGA) for a relaxed structure of KOF3.

Summary:
The value obtained for the spin magnetization is 0.80 μB/atom. The value obtained for the calculated volume is 25.14 Å³/atom. The space group is No. 221. The excess energy over the best structure of this formula in the dataset is 920 meV per atom. For the uncorrected formation energy, the calculation gives -0.1940 eV per atom.

Cell lengths 5.010, 5.010, 5.010 Å; angles 90.00, 90.00, 90.00 degrees
Sites, in units of the cell vectors:
K  0.000  0.000  0.000
O  0.500  0.500  0.500
F  0.000  0.000  0.500
F  0.000  0.500  0.000
F  0.500  0.000  0.000



So what do the calculations give for DFT total energy? Going down the list: -6.143; -26.785; -21.756; -12.640 eV/cell.